No. 1
PBE PmV2B6, optimized geometry; SG = Immm (71); formation energy from the elements = -0.6665 eV/atom
1.0
3.020 0.000 0.832
1.078 5.122 1.982
0.090 -0.531 5.571
Pm B V
1 6 2
direct
0.000 0.000 0.000
0.500 0.636 0.364
0.699 0.067 0.535
0.699 0.535 0.067
0.301 0.933 0.465
0.500 0.364 0.636
0.301 0.465 0.933
0.156 0.344 0.344
0.844 0.656 0.656


No. 2
PBE SmHoCd4, optimized geometry; energy above the most stable polymorph in this dataset = 0.059 eV per atom; SG = F-43m (216); formation energy from the elements = -0.2618 eV/atom
1.0
5.930 0.000 0.000
2.965 5.135 0.000
2.965 1.712 4.842
Cd Ho Sm
4 1 1
direct
0.625 0.625 0.625
0.625 0.125 0.625
0.625 0.625 0.125
0.125 0.625 0.625
0.000 0.000 0.000
0.250 0.250 0.250


No. 3
PBE LiSe, optimized geometry; formation energy from raw total energies = -0.385 eV per atom; energy above the most stable polymorph in this dataset = 0.524 eV per atom; SG = Pm-3n (223)
1.0
-2.356 0.007 -6.710
6.652 -0.930 -2.337
-0.880 -7.051 0.302
Se Li
6 6
direct
0.500 0.750 0.000
0.500 0.250 0.000
0.000 0.500 0.250
0.000 0.500 0.750
0.750 0.000 0.500
0.250 0.000 0.500
0.250 0.500 0.000
0.000 0.250 0.500
0.500 0.000 0.750
0.500 0.000 0.250
0.750 0.500 0.000
0.000 0.750 0.500


No. 4
PBE CrIrOs2, optimized geometry; energy above the most stable polymorph in this dataset = 0.120 eV per atom; SG = R-3m (166); formation energy from the elements = 0.0976 eV/atom
1.0
-3.209 8.223 1.007
-5.467 6.831 1.546
-3.662 7.295 3.509
Os Cr Ir
2 1 1
direct
0.503 0.503 0.503
0.997 0.997 0.997
0.250 0.250 0.250
0.750 0.750 0.750


No. 5
PBE H2RhS, optimized geometry; energy above the most stable polymorph in this dataset = 0.000 eV per atom; SG = I-42d (122)
1.0
3.474 0.000 0.000
0.000 3.474 0.000
1.737 1.737 6.479
H S Rh
4 2 2
direct
0.873 0.625 0.250
0.375 0.123 0.750
0.877 0.125 0.250
0.875 0.127 0.750
0.500 0.500 0.000
0.250 0.750 0.500
0.000 0.000 0.000
0.750 0.250 0.500


No. 6
PBE BaSr2As, optimized geometry; SG = F-43m (216); formation energy from the elements = -0.1456 eV/atom
1.0
-5.476 0.388 -2.490
-2.479 -4.841 -2.599
-4.695 -2.745 2.600
As Sr Ba
1 2 1
direct
0.500 0.500 0.500
0.000 0.000 0.000
0.250 0.250 0.250
0.750 0.750 0.750


No. 7
PBE InReTe2, optimized geometry; formation energy from raw total energies = 0.930 eV per atom; SG = C2/m (12)
1.0
6.040 -0.008 -0.029
-3.382 5.697 -0.001
-0.723 0.718 2.751
Re Te In
1 2 1
direct
0.500 0.500 0.000
0.500 0.000 0.500
0.000 0.000 0.000
0.000 0.500 0.500


No. 8
PBE Be2GaPt2, optimized geometry; energy above the most stable polymorph in this dataset = 0.000 eV per atom; SG = I4/mmm (139); formation energy from the elements = -0.5742 eV/atom
1.0
-0.948 0.965 -2.909
2.836 -0.878 -1.215
-1.346 -5.734 -3.233
Pt Ga Be
2 1 2
direct
0.615 0.615 0.771
0.385 0.385 0.229
0.000 0.000 0.000
0.750 0.250 0.500
0.250 0.750 0.500


No. 9
PBE Sm6NpN8, optimized geometry; formation energy from raw total energies = -1.168 eV per atom; SG = R-3 (148)
1.0
6.166 0.156 2.086
1.545 5.972 2.086
0.196 0.156 6.507
N Sm Np
8 6 1
direct
0.325 0.325 0.325
0.323 0.097 0.834
0.903 0.166 0.677
0.166 0.677 0.903
0.675 0.675 0.675
0.097 0.834 0.323
0.677 0.903 0.166
0.834 0.323 0.097
0.948 0.505 0.293
0.505 0.293 0.948
0.707 0.052 0.495
0.052 0.495 0.707
0.293 0.948 0.505
0.495 0.707 0.052
0.000 0.000 0.000


No. 10
PBE Th6InTc2, optimized geometry; SG = Immm (71); formation energy from the elements = -0.1450 eV/atom
1.0
8.134 -0.293 -3.156
-4.388 7.237 -2.140
-0.268 0.293 8.720
Th In Tc
12 2 4
direct
0.307 0.974 0.667
0.307 0.639 0.333
0.203 0.760 0.964
0.797 0.760 0.557
0.693 0.361 0.667
0.887 0.704 0.184
0.797 0.240 0.036
0.520 0.704 0.816
0.480 0.296 0.184
0.113 0.296 0.816
0.203 0.240 0.443
0.693 0.026 0.333
0.000 0.500 0.500
0.000 0.000 0.000
0.671 0.000 0.671
0.500 0.363 0.863
0.500 0.637 0.137
0.329 0.000 0.329


No. 11
PBE BaGdTm, optimized geometry; SG = I4mm (107); formation energy from the elements = 0.1850 eV/atom
1.0
-3.307 -1.760 0.420
0.512 -0.071 3.734
-2.366 8.143 -1.423
Ba Gd Tm
1 1 1
direct
0.002 0.002 0.004
0.316 0.316 0.632
0.682 0.682 0.363


No. 12
PBE Ac3SeN2, optimized geometry; formation energy from raw total energies = -1.265 eV per atom; energy above the most stable polymorph in this dataset = 0.061 eV per atom; SG = Immm (71)
1.0
-3.442 1.617 1.171
-2.268 -5.489 0.913
4.907 2.063 4.816
N Ac Se
2 3 1
direct
0.168 0.168 0.836
0.832 0.832 0.164
0.804 0.304 0.109
0.500 0.000 0.500
0.196 0.696 0.891
0.500 0.500 0.500


Please write out number 2 again, unchanged.
PBE SmHoCd4, optimized geometry; energy above the most stable polymorph in this dataset = 0.059 eV per atom; SG = F-43m (216); formation energy from the elements = -0.2618 eV/atom
1.0
5.930 0.000 0.000
2.965 5.135 0.000
2.965 1.712 4.842
Cd Ho Sm
4 1 1
direct
0.625 0.625 0.625
0.625 0.125 0.625
0.625 0.625 0.125
0.125 0.625 0.625
0.000 0.000 0.000
0.250 0.250 0.250